{"formula": "BeC3F", "functional": "GGA-PBE", "state": "optimized geometry", "lattice": [[3.682, 0.000, 0.000], [0.000, 3.682, 0.000], [0.000, 0.000, 3.682]], "species": ["C", "C", "Be", "C", "F"], "frac_coords": [[0.000, 0.500, 0.000], [0.000, 0.000, 0.500], [0.500, 0.500, 0.500], [0.500, 0.000, 0.000], [0.000, 0.000, 0.000]], "polymorph_energy_mev_per_atom": 815, "e_form_raw_ev_per_atom": 3.312}